(1)
Computed, not measured: an optimized crystal structure of Na2MnTlFe at the PBE level of DFT.

abc: 5.483 4.211 5.483
angles: 90.00 90.00 90.00
Site moments in Bohr magnetons follow the coordinates.
Sites, in units of the cell vectors:
1 Na 0.000 0.000 0.500  -0.01
2 Na 0.500 0.000 0.000  -0.01
3 Fe 0.000 0.000 0.000  1.44
4 Mn 0.000 0.500 0.000  2.77
5 Tl 0.500 0.500 0.500  -0.02

Formation energy (meV per atom): 868
M_tot (μB/f.u.): 4.4


(2)
Computed, not measured: an optimized crystal structure of NaMnTl2Fe at the PBE level of DFT.

abc: 5.309 5.067 5.309
angles: 90.00 90.00 90.00
Site moments in Bohr magnetons follow the coordinates.
Sites, in units of the cell vectors:
1 Tl 0.000 0.000 0.500  -0.06
2 Tl 0.500 0.000 0.000  -0.05
3 Na 0.000 0.000 0.000  -0.01
4 Fe 0.500 0.500 0.500  3.23
5 Mn 0.000 0.500 0.000  4.13

Formation energy (meV per atom): 1404
M_tot (μB/f.u.): 7.3


(3)
Computed, not measured: an optimized crystal structure of Mn4NbFe at the PBE level of DFT.

abc: 4.709 4.709 4.709
angles: 60.00 60.00 60.00
Site moments in Bohr magnetons follow the coordinates.
Sites, in units of the cell vectors:
1 Mn 0.626 0.626 0.121  -0.28
2 Mn 0.626 0.121 0.626  -0.28
3 Mn 0.121 0.626 0.626  -0.28
4 Mn 0.626 0.626 0.626  -0.28
5 Nb 0.250 0.250 0.250  0.07
6 Fe 0.000 0.000 0.000  2.48

Formation energy (meV per atom): 5
M_tot (μB/f.u.): 1.4
Energy above the lowest structure with this stoichiometry (kJ per mole of atoms): 0.00